TiVNO2 after structural relaxation. Source: the Alexandria database, functional PBE+U.

Its total energy is -7.85 eV per atom. For the total moment, the calculation gives 2.0 μB/f.u.

The structure belongs to space group P4/mmm (No. 123); the cell edges are 3.798, 3.798 and 4.003 Å and the angles 90.00°, 90.00° and 90.00°. The distinct sites, in fractional coordinates, are Ti at (0.000, 0.000, 0.000), V at (0.500, 0.500, 0.500), N at (0.000, 0.000, 0.500) and O at (0.000, 0.500, 0.000).